VASP calculation (PBE) on crystalline PuSc2B6 at its relaxed geometry.

Results
- ΔE_f: -0.6167 eV/atom
- Total energy: -8.07 eV/atom
- Space-group type: P6/mmm, No. 191
- Fermi-level density of states: 0.94 states/eV/atom

Lattice parameters (Å, degrees): 3.722 5.486 5.486 120.00 90.00 90.00
Last column: magnetic moment on the atom in μB.
Fractional positions:
Pu: 0.000 0.000 0.000  4.74
Sc: 0.000 0.333 0.667  0.12
Sc: 0.000 0.667 0.333  0.12
B: 0.500 0.336 0.336  -0.01
B: 0.500 0.664 0.664  -0.01
B: 0.500 0.000 0.664  -0.01
B: 0.500 0.664 0.000  -0.01
B: 0.500 0.336 0.000  -0.01
B: 0.500 0.000 0.336  -0.01